Entry 1:
Compound: Pr3IrPbCl
Source: Alexandria
Functional: PBE-GGA
Structure: optimized geometry

Cell: 4.7087 7.7528 9.8801 Å, 105.35 90.00 90.00°
Sites, in units of the cell vectors:
1 Pr 0.2500 0.7139 0.4598
2 Pr 0.7500 0.9284 0.1244
3 Pr 0.7500 0.4572 0.1362
4 Pr 0.7500 0.2861 0.5402
5 Pr 0.2500 0.5428 0.8638
6 Pr 0.2500 0.0716 0.8756
7 Ir 0.2500 0.7043 0.1497
8 Ir 0.7500 0.2957 0.8503
9 Pb 0.7500 0.7382 0.7223
10 Pb 0.2500 0.2618 0.2777
11 Cl 0.2500 0.1070 0.5952
12 Cl 0.7500 0.8930 0.4048

Computed properties:
ΔE_f (raw): -0.8135 eV/atom
Total DFT energy (no corrections): -67.3 eV/cell


Entry 2:
Compound: RbIrPbCl6
Source: Alexandria
Functional: PBE-GGA
Structure: optimized geometry

Cell: 7.0964 7.0964 13.6917 Å, 90.00 90.00 120.00°
Sites, in units of the cell vectors:
1 Rb 0.0000 0.0000 0.0000
2 Rb 0.0000 0.0000 0.5000
3 Ir 0.6667 0.3333 0.2500
4 Ir 0.3333 0.6667 0.7500
5 Pb 0.3333 0.6667 0.2500
6 Pb 0.6667 0.3333 0.7500
7 Cl 0.6589 0.6004 0.1482
8 Cl 0.9415 0.3411 0.1482
9 Cl 0.3411 0.9415 0.6482
10 Cl 0.0585 0.6589 0.8518
11 Cl 0.3996 0.3411 0.3518
12 Cl 0.9415 0.6004 0.3518
13 Cl 0.6004 0.9415 0.8518
14 Cl 0.6589 0.0585 0.3518
15 Cl 0.0585 0.3996 0.6482
16 Cl 0.3996 0.0585 0.1482
17 Cl 0.6004 0.6589 0.6482
18 Cl 0.3411 0.3996 0.8518

Computed properties:
ΔE_f (raw): -1.0333 eV/atom
Total DFT energy (no corrections): -67.8 eV/cell


Entry 3:
Compound: Rb2IrPbCl8
Source: Alexandria
Functional: PBE-GGA
Structure: optimized geometry

Cell: 7.3118 6.5350 8.5813 Å, 89.60 90.29 90.86°
Site moments in Bohr magnetons follow the coordinates.
Sites, in units of the cell vectors:
1 Rb 0.5011 0.4949 0.7658  0.00
2 Rb 0.4989 0.5051 0.2342  0.00
3 Ir 0.0000 0.0000 0.0000  0.57
4 Pb 0.0000 0.0000 0.5000  0.01
5 Cl 0.0951 0.7748 0.1996  0.03
6 Cl 0.7111 0.8440 0.9966  0.07
7 Cl 0.9002 0.2228 0.1961  0.03
8 Cl 0.9049 0.2252 0.8004  0.03
9 Cl 0.2889 0.1560 0.0034  0.07
10 Cl 0.0998 0.7772 0.8039  0.03
11 Cl 0.6846 0.7603 0.5013  0.02
12 Cl 0.3154 0.2397 0.4987  0.02

Computed properties:
ΔE_f (raw): -1.0831 eV/atom
Total DFT energy (no corrections): -42.3 eV/cell


Entry 4:
Compound: Rb2IrPbCl6
Source: Alexandria
Functional: PBE-GGA
Structure: optimized geometry

Cell: 7.4723 7.4723 7.4854 Å, 60.06 60.06 90.00°
Sites, in units of the cell vectors:
1 Pb 0.0000 0.0000 0.0000
2 Ir 0.5000 0.5000 0.0000
3 Rb 0.7500 0.2500 0.5000
4 Rb 0.2500 0.7500 0.5000
5 Cl 0.2702 0.2702 0.4596
6 Cl 0.7298 0.7298 0.5404
7 Cl 0.2706 0.2706 0.0000
8 Cl 0.7294 0.7294 0.0000
9 Cl 0.7294 0.2706 0.0000
10 Cl 0.2706 0.7294 0.0000

Computed properties:
ΔE_f (raw): -1.1010 eV/atom
Total DFT energy (no corrections): -36.6 eV/cell


Entry 5:
Compound: ReIrPbCl2
Source: Alexandria
Functional: PBE-GGA
Structure: optimized geometry

Cell: 5.3930 5.3269 5.3930 Å, 90.00 90.00 90.00°
Site moments in Bohr magnetons follow the coordinates.
Sites, in units of the cell vectors:
1 Pb 0.0000 0.0000 0.0000  0.00
2 Re 0.5000 0.5000 0.5000  4.30
3 Ir 0.0000 0.5000 0.0000  -1.02
4 Cl 0.0000 0.0000 0.5000  0.04
5 Cl 0.5000 0.0000 0.0000  0.06

Computed properties:
ΔE_f (raw): 1.6677 eV/atom
Total DFT energy (no corrections): -20.4 eV/cell


Entry 6:
Compound: IrPbSCl2
Source: Alexandria
Functional: PBE-GGA
Structure: optimized geometry

Cell: 5.1114 5.1114 4.5707 Å, 90.00 90.00 90.00°
Sites, in units of the cell vectors:
1 Pb 0.5000 0.5000 0.5000
2 S 0.0000 0.0000 0.5000
3 Ir 0.0000 0.0000 0.0000
4 Cl 0.0000 0.5000 0.0000
5 Cl 0.5000 0.0000 0.0000

Computed properties:
E above lowest polymorph: 0 meV per atom
ΔE_f (raw): -0.0715 eV/atom
Total DFT energy (no corrections): -20.7 eV/cell


Entry 7:
Compound: IrPbSCl2
Source: Alexandria
Functional: PBE-GGA
Structure: optimized geometry

Cell: 5.2263 5.2263 5.3261 Å, 90.00 90.00 90.00°
Site moments in Bohr magnetons follow the coordinates.
Sites, in units of the cell vectors:
1 Pb 0.0000 0.0000 0.0000  0.00
2 S 0.0000 0.0000 0.5000  0.00
3 Ir 0.5000 0.5000 0.5000  2.16
4 Cl 0.0000 0.5000 0.0000  0.02
5 Cl 0.5000 0.0000 0.0000  0.02

Computed properties:
E above lowest polymorph: 1063 meV per atom
ΔE_f (raw): 0.9913 eV/atom
Total DFT energy (no corrections): -15.4 eV/cell


Entry 8:
Compound: Sm3IrPbCl
Source: Alexandria
Functional: PBE-GGA
Structure: optimized geometry

Cell: 4.6623 7.5015 9.7242 Å, 102.90 90.00 90.00°
Sites, in units of the cell vectors:
1 Sm 0.2500 0.7116 0.4544
2 Sm 0.7500 0.9272 0.1282
3 Sm 0.7500 0.4474 0.1306
4 Sm 0.7500 0.2884 0.5456
5 Sm 0.2500 0.5526 0.8694
6 Sm 0.2500 0.0728 0.8718
7 Ir 0.2500 0.6932 0.1525
8 Ir 0.7500 0.3068 0.8475
9 Pb 0.7500 0.7335 0.7189
10 Pb 0.2500 0.2665 0.2811
11 Cl 0.2500 0.0991 0.5923
12 Cl 0.7500 0.9009 0.4077

Computed properties:
ΔE_f (raw): -0.8249 eV/atom
Total DFT energy (no corrections): -67.0 eV/cell


Entry 9:
Compound: Zn2IrPbCl
Source: Alexandria
Functional: PBE-GGA
Structure: optimized geometry

Cell: 4.6129 5.4435 4.6129 Å, 90.00 90.00 90.00°
Sites, in units of the cell vectors:
1 Pb 0.0000 0.5000 0.0000
2 Zn 0.0000 0.0000 0.5000
3 Zn 0.5000 0.0000 0.0000
4 Ir 0.5000 0.5000 0.5000
5 Cl 0.0000 0.0000 0.0000

Computed properties:
ΔE_f (raw): 1.0038 eV/atom
Total DFT energy (no corrections): -11.9 eV/cell


Entry 10:
Compound: Ir2PdCl
Source: Alexandria
Functional: PBE-GGA
Structure: optimized geometry

Cell: 3.6297 3.6297 10.6232 Å, 80.16 80.16 90.00°
Sites, in units of the cell vectors:
1 Ir 0.6330 0.1250 0.2500
2 Ir 0.1170 0.6250 0.2500
3 Ir 0.3750 0.3670 0.7500
4 Ir 0.8750 0.8830 0.7500
5 Pd 0.0000 0.0000 0.0000
6 Pd 0.7500 0.2500 0.5000
7 Cl 0.5000 0.5000 0.0000
8 Cl 0.2500 0.7500 0.5000

Computed properties:
E above lowest polymorph: 0 meV per atom
ΔE_f (raw): 0.8919 eV/atom
Total DFT energy (no corrections): -42.4 eV/cell


Entry 11:
Compound: Ir2PdCl
Source: Alexandria
Functional: PBE-GGA
Structure: optimized geometry

Cell: 4.4398 4.4398 4.4398 Å, 60.00 60.00 60.00°
Site moments in Bohr magnetons follow the coordinates.
Sites, in units of the cell vectors:
1 Ir 0.2500 0.2500 0.2500  0.58
2 Ir 0.7500 0.7500 0.7500  0.58
3 Pd 0.5000 0.5000 0.5000  0.11
4 Cl 0.0000 0.0000 0.0000  0.04

Computed properties:
E above lowest polymorph: 169 meV per atom
ΔE_f (raw): 1.0613 eV/atom
Total DFT energy (no corrections): -20.5 eV/cell


Entry 12:
Compound: Ir3PdCl
Source: Alexandria
Functional: PBE-GGA
Structure: optimized geometry

Cell: 4.4012 4.4012 4.4012 Å, 90.00 90.00 90.00°
Site moments in Bohr magnetons follow the coordinates.
Sites, in units of the cell vectors:
1 Ir 0.0000 0.5000 0.0000  0.52
2 Ir 0.0000 0.0000 0.5000  0.45
3 Ir 0.5000 0.0000 0.0000  0.57
4 Pd 0.5000 0.5000 0.5000  0.32
5 Cl 0.0000 0.0000 0.0000  0.04

Computed properties:
E above lowest polymorph: 0 meV per atom
ΔE_f (raw): 1.5404 eV/atom
Total DFT energy (no corrections): -25.9 eV/cell


Entry 13:
Compound: Ir3PdCl
Source: Alexandria
Functional: PBE-GGA
Structure: optimized geometry

Cell: 4.8450 4.8450 4.8450 Å, 90.00 90.00 90.00°
Site moments in Bohr magnetons follow the coordinates.
Sites, in units of the cell vectors:
1 Ir 0.0000 0.5000 0.0000  1.55
2 Ir 0.0000 0.0000 0.5000  2.00
3 Ir 0.5000 0.0000 0.0000  0.88
4 Pd 0.0000 0.0000 0.0000  0.58
5 Cl 0.5000 0.5000 0.5000  0.25

Computed properties:
E above lowest polymorph: 770 meV per atom
ΔE_f (raw): 2.3106 eV/atom
Total DFT energy (no corrections): -22.1 eV/cell


Entry 14:
Compound: Pr3IrPdCl
Source: Alexandria
Functional: PBE-GGA
Structure: optimized geometry

Cell: 4.7154 7.1766 9.8991 Å, 94.50 90.00 90.00°
Sites, in units of the cell vectors:
1 Pr 0.7500 0.8120 0.0887
2 Pr 0.2500 0.1880 0.9113
3 Pr 0.2500 0.7097 0.3883
4 Pr 0.7500 0.2903 0.6117
5 Pr 0.7500 0.3402 0.1907
6 Pr 0.2500 0.6598 0.8093
7 Ir 0.2500 0.5575 0.1108
8 Ir 0.7500 0.4425 0.8892
9 Pd 0.2500 0.0733 0.1865
10 Pd 0.7500 0.9267 0.8135
11 Cl 0.2500 0.0699 0.6069
12 Cl 0.7500 0.9301 0.3931

Computed properties:
ΔE_f (raw): -0.8075 eV/atom
Total DFT energy (no corrections): -70.2 eV/cell


Entry 15:
Compound: Pr8Ir3PdCl4
Source: Alexandria
Functional: PBE-GGA
Structure: optimized geometry

Cell: 8.3642 8.9867 8.3617 Å, 117.78 120.01 90.00°
Sites, in units of the cell vectors:
1 Pr 0.2397 0.7056 0.9665
2 Pr 0.2396 0.7056 0.4792
3 Pr 0.2648 0.2950 0.5296
4 Pr 0.7269 0.7056 0.9665
5 Pr 0.2731 0.2944 0.0335
6 Pr 0.7352 0.7050 0.4704
7 Pr 0.7604 0.2944 0.5208
8 Pr 0.7603 0.2944 0.0335
9 Ir 0.5000 0.5000 0.0000
10 Ir 0.5000 0.5000 0.5000
11 Ir 0.0000 0.5000 0.5000
12 Pd 0.0000 0.5000 0.0000
13 Cl 0.5000 0.0000 0.0000
14 Cl 0.5000 0.0000 0.5000
15 Cl 0.0000 0.0000 0.0000
16 Cl 0.0000 0.0000 0.5000

Computed properties:
ΔE_f (raw): -1.1724 eV/atom
Total DFT energy (no corrections): -96.2 eV/cell


Entry 16:
Compound: IrPdRhCl2
Source: Alexandria
Functional: PBE-GGA
Structure: optimized geometry

Cell: 4.4779 4.4779 5.2344 Å, 90.00 90.00 90.00°
Site moments in Bohr magnetons follow the coordinates.
Sites, in units of the cell vectors:
1 Ir 0.5000 0.5000 0.5000  1.87
2 Rh 0.0000 0.0000 0.0000  0.12
3 Pd 0.0000 0.0000 0.5000  0.17
4 Cl 0.0000 0.5000 0.0000  0.06
5 Cl 0.5000 0.0000 0.0000  0.06

Computed properties:
ΔE_f (raw): 1.1555 eV/atom
Total DFT energy (no corrections): -19.3 eV/cell


Entry 17:
Compound: Ir2PdRuCl
Source: Alexandria
Functional: PBE-GGA
Structure: optimized geometry

Cell: 4.8683 4.4751 4.8683 Å, 90.00 90.00 90.00°
Site moments in Bohr magnetons follow the coordinates.
Sites, in units of the cell vectors:
1 Ru 0.5000 0.5000 0.5000  2.63
2 Ir 0.0000 0.0000 0.5000  1.34
3 Ir 0.5000 0.0000 0.0000  0.99
4 Pd 0.0000 0.0000 0.0000  0.30
5 Cl 0.0000 0.5000 0.0000  0.06

Computed properties:
ΔE_f (raw): 2.0667 eV/atom
Total DFT energy (no corrections): -23.7 eV/cell


Entry 18:
Compound: IrPdSCl2
Source: Alexandria
Functional: PBE-GGA
Structure: optimized geometry

Cell: 5.0172 5.0172 4.3722 Å, 90.00 90.00 90.00°
Site moments in Bohr magnetons follow the coordinates.
Sites, in units of the cell vectors:
1 S 0.0000 0.0000 0.5000  0.00
2 Ir 0.0000 0.0000 0.0000  0.02
3 Pd 0.5000 0.5000 0.5000  -0.42
4 Cl 0.0000 0.5000 0.0000  -0.02
5 Cl 0.5000 0.0000 0.0000  -0.02

Computed properties:
E above lowest polymorph: 0 meV per atom
ΔE_f (raw): 0.4574 eV/atom
Total DFT energy (no corrections): -19.6 eV/cell


Entry 19:
Compound: IrPdSCl2
Source: Alexandria
Functional: PBE-GGA
Structure: optimized geometry

Cell: 4.7090 4.7090 4.8041 Å, 90.00 90.00 90.00°
Site moments in Bohr magnetons follow the coordinates.
Sites, in units of the cell vectors:
1 S 0.0000 0.0000 0.5000  0.11
2 Ir 0.5000 0.5000 0.5000  2.05
3 Pd 0.0000 0.0000 0.0000  0.01
4 Cl 0.0000 0.5000 0.0000  0.09
5 Cl 0.5000 0.0000 0.0000  0.09

Computed properties:
E above lowest polymorph: 566 meV per atom
ΔE_f (raw): 1.0234 eV/atom
Total DFT energy (no corrections): -16.8 eV/cell


Entry 20:
Compound: ScIrPdCl2
Source: Alexandria
Functional: PBE-GGA
Structure: optimized geometry

Cell: 4.6803 5.5220 4.6803 Å, 90.00 90.00 90.00°
Site moments in Bohr magnetons follow the coordinates.
Sites, in units of the cell vectors:
1 Sc 0.0000 0.0000 0.0000  -0.04
2 Ir 0.5000 0.5000 0.5000  1.82
3 Pd 0.0000 0.5000 0.0000  0.06
4 Cl 0.0000 0.0000 0.5000  0.02
5 Cl 0.5000 0.0000 0.0000  0.02

Computed properties:
ΔE_f (raw): 0.2822 eV/atom
Total DFT energy (no corrections): -22.7 eV/cell